Density functional theory data (GGA-PBE) for a geometry-optimized YSi4Os2 structure.

abc: 4.867 4.867 7.245
angles: 70.37 70.37 90.00
Element x y z (fractional)
Os: 0.598 0.598 0.804
Si: 0.000 0.500 0.000
Si: 0.500 0.000 0.000
Y: 0.000 0.000 0.000
Si: 0.771 0.771 0.457
Os: 0.402 0.402 0.196
Si: 0.229 0.229 0.543

Results
**D(E_F)**: 0.580 states/eV/atom
**Formation energy without anion corrections**: 1.015 eV/atom
**Raw total energy**: -43.51 eV for the cell shown

---

Density functional theory data (GGA-PBE) for a geometry-optimized CeErOs structure.

abc: 3.354 3.354 7.088
angles: 103.68 103.68 90.00
Site moments in Bohr magnetons follow the coordinates.
Element x y z (fractional)
Er: 0.322 0.322 0.644  0.06
Ce: 0.579 0.579 0.157  0.55
Os: 0.949 0.949 0.898  -0.04

Results
**D(E_F)**: 1.610 states/eV/atom
**Raw total energy**: -22.25 eV for the cell shown
**Energy of formation from the pure elements**: -0.175 eV per atom

---

Density functional theory data (GGA-PBE) for a geometry-optimized Tc2GeRu2 structure.

abc: 7.515 7.515 2.758
angles: 90.00 90.00 90.00
Element x y z (fractional)
Ge: 0.000 0.000 0.000
Tc: 0.836 0.336 0.500
Ru: 0.373 0.873 0.000
Ge: 0.500 0.500 0.000
Ru: 0.127 0.373 0.000
Tc: 0.664 0.836 0.500
Ru: 0.627 0.127 0.000
Tc: 0.164 0.664 0.500
Ru: 0.873 0.627 0.000
Tc: 0.336 0.164 0.500

Results
**D(E_F)**: 1.034 states/eV/atom
**Raw total energy**: -84.81 eV for the cell shown
**Energy of formation from the pure elements**: 0.300 eV per atom

---

Density functional theory data (GGA-PBE) for a geometry-optimized Ti3AlMo structure.

abc: 4.717 4.717 4.717
angles: 90.00 90.00 90.00
Site moments in Bohr magnetons follow the coordinates.
Element x y z (fractional)
Ti: 0.500 0.000 0.000  0.37
Al: 0.500 0.500 0.500  -0.01
Ti: 0.000 0.000 0.500  0.13
Mo: 0.000 0.000 0.000  -0.07
Ti: 0.000 0.500 0.000  0.22

Results
**D(E_F)**: 1.557 states/eV/atom
**Raw total energy**: -34.54 eV for the cell shown
**Energy of formation from the pure elements**: 0.743 eV per atom

---

Density functional theory data (GGA-PBE) for a geometry-optimized MgZr6Tl structure.

abc: 4.480 4.480 8.989
angles: 90.00 90.00 90.00
Element x y z (fractional)
Zr: 0.500 0.000 0.749
Zr: 0.500 0.500 0.500
Zr: 0.500 0.500 0.000
Zr: 0.000 0.500 0.251
Tl: 0.000 0.000 0.000
Zr: 0.000 0.500 0.749
Zr: 0.500 0.000 0.251
Mg: 0.000 0.000 0.500

Results
**D(E_F)**: 1.086 states/eV/atom
**Raw total energy**: -55.64 eV for the cell shown
**Energy of formation from the pure elements**: -0.049 eV per atom

---

Density functional theory data (GGA-PBE) for a geometry-optimized KY2In structure.

abc: 7.196 7.196 7.196
angles: 150.62 129.97 59.09
Element x y z (fractional)
K: 0.250 0.750 0.500
In: 0.750 0.250 0.500
Y: 0.540 0.540 0.000
Y: 0.960 0.960 0.000

Results
**D(E_F)**: 1.327 states/eV/atom
**Raw total energy**: -16.46 eV for the cell shown
**Energy of formation from the pure elements**: 0.076 eV per atom

---

Density functional theory data (GGA-PBE) for a geometry-optimized Ac3InPb2 structure.

abc: 6.983 6.945 9.713
angles: 102.36 111.07 90.00
Element x y z (fractional)
Pb: 0.452 0.451 0.684
Ac: 0.057 0.611 0.344
Ac: 0.354 0.750 0.000
In: 0.140 0.250 0.000
Pb: 0.768 0.049 0.316
Ac: 0.646 0.250 0.000
Ac: 0.712 0.889 0.656
Ac: 0.288 0.111 0.344
Ac: 0.943 0.389 0.656
Pb: 0.548 0.549 0.316
Pb: 0.232 0.951 0.684
In: 0.860 0.750 0.000

Results
**D(E_F)**: 0.821 states/eV/atom
**Raw total energy**: -50.05 eV for the cell shown
**Energy of formation from the pure elements**: -0.424 eV per atom

---

Density functional theory data (GGA-PBE) for a geometry-optimized Rb2Al2F7 structure.

abc: 5.502 6.829 6.829
angles: 105.09 95.88 95.88
Element x y z (fractional)
Rb: 0.500 0.302 0.698
Rb: 0.500 0.698 0.302
F: 0.239 0.897 0.635
Al: 0.078 0.795 0.795
F: 0.761 0.103 0.365
F: 0.000 0.000 0.000
F: 0.194 0.340 0.340
F: 0.761 0.365 0.103
F: 0.239 0.635 0.897
Al: 0.922 0.205 0.205
F: 0.806 0.660 0.660

Results
**D(E_F)**: 0.173 states/eV/atom
**Formation energy without anion corrections**: -3.036 eV/atom
**Raw total energy**: -55.92 eV for the cell shown

---

Density functional theory data (GGA-PBE) for a geometry-optimized Nb2MoPb structure.

abc: 7.700 7.700 6.137
angles: 51.14 51.14 90.00
Element x y z (fractional)
Nb: 0.875 0.825 0.750
Pb: 0.000 0.000 0.000
Nb: 0.575 0.125 0.250
Nb: 0.375 0.425 0.750
Mo: 0.250 0.750 0.500
Pb: 0.750 0.250 0.500
Mo: 0.500 0.500 0.000
Nb: 0.175 0.625 0.250

Results
**D(E_F)**: 0.697 states/eV/atom
**Raw total energy**: -63.51 eV for the cell shown
**Energy of formation from the pure elements**: 0.731 eV per atom

---

Density functional theory data (GGA-PBE) for a geometry-optimized DyHfIrPt structure.

abc: 4.782 4.782 4.782
angles: 60.00 60.00 60.00
Element x y z (fractional)
Hf: 0.250 0.250 0.250
Dy: 0.750 0.750 0.750
Ir: 0.500 0.500 0.500
Pt: 0.000 0.000 0.000

Results
**D(E_F)**: 1.039 states/eV/atom
**Raw total energy**: -33.11 eV for the cell shown
**Energy of formation from the pure elements**: -0.913 eV per atom

---

Density functional theory data (GGA-PBE) for a geometry-optimized RbCeO2 structure.

abc: 3.655 3.655 7.042
angles: 74.96 74.96 60.00
Site moments in Bohr magnetons follow the coordinates.
Element x y z (fractional)
O: 0.061 0.061 0.818  -0.02
Ce: 0.667 0.667 0.998  0.90
O: 0.276 0.276 0.173  -0.02
Rb: 0.496 0.496 0.511  0.01

Results
**D(E_F)**: 0.883 states/eV/atom
**Formation energy without anion corrections**: -2.500 eV/atom
**Raw total energy**: -26.82 eV for the cell shown

---

Density functional theory data (GGA-PBE) for a geometry-optimized Li2ZrCuAu structure.

abc: 5.211 4.821 5.211
angles: 90.00 90.00 90.00
Site moments in Bohr magnetons follow the coordinates.
Element x y z (fractional)
Li: 0.500 0.000 0.000  0.14
Zr: 0.000 0.000 0.000  1.46
Li: 0.000 0.000 0.500  0.11
Au: 0.500 0.500 0.500  0.00
Cu: 0.000 0.500 0.000  0.06

Results
**D(E_F)**: 0.628 states/eV/atom
**Raw total energy**: -13.51 eV for the cell shown
**Energy of formation from the pure elements**: 1.248 eV per atom